Record 1
! PmCuOs, optimized geometry, DFT PBE; values from VASP
&SYSTEM
  ibrav = 0, nat = 6, ntyp = 3
/
ATOMIC_SPECIES
Pm 145.00 Pm.upf
Cu 63.55 Cu.upf
Os 190.23 Os.upf
CELL_PARAMETERS angstrom
-2.587 2.721 3.873
2.587 -2.721 3.873
2.587 2.721 -3.873
ATOMIC_POSITIONS angstrom
Pm 0.000 1.360 0.909
Pm 2.587 1.360 2.965
Cu 2.587 0.000 0.000
Cu 0.000 0.000 3.873
Os 1.293 1.360 -1.937
Os 1.293 -1.360 1.937
! - Formation energy from the elements: -0.1591 eV/atom
! - Crystal system: orthorhombic
! - Calculated density: 12.15 Mg/m³
! - Calculated total energy: -6.851 eV per atom

Record 2
! PmCuOs, optimized geometry, DFT PBE; values from VASP
&SYSTEM
  ibrav = 0, nat = 6, ntyp = 3
/
ATOMIC_SPECIES
Pm 145.00 Pm.upf
Cu 63.55 Cu.upf
Os 190.23 Os.upf
CELL_PARAMETERS angstrom
3.879 0.000 0.000
0.000 4.135 0.000
-0.487 0.000 7.755
ATOMIC_POSITIONS angstrom
Pm 0.872 1.034 1.359
Pm 2.520 3.101 6.396
Cu 0.466 1.034 5.607
Cu 2.926 3.101 2.148
Os 1.041 3.101 3.937
Os 2.351 1.034 3.818
! - Formation energy from the elements: 0.0718 eV/atom
! - Crystal system: monoclinic
! - Calculated density: 10.65 Mg/m³
! - Calculated total energy: -6.620 eV per atom

Record 3
! Pm8Cu2Os, optimized geometry, DFT PBE; values from VASP
&SYSTEM
  ibrav = 0, nat = 11, ntyp = 3
/
ATOMIC_SPECIES
Pm 145.00 Pm.upf
Cu 63.55 Cu.upf
Os 190.23 Os.upf
CELL_PARAMETERS angstrom
8.853 -2.596 0.000
8.853 2.596 0.000
-1.868 0.000 6.639
ATOMIC_POSITIONS angstrom
Pm 0.011 0.000 1.957
Pm 1.975 0.000 5.498
Pm 4.942 0.000 3.459
Pm 7.168 0.000 0.393
Pm 8.670 0.000 6.246
Pm 10.896 0.000 3.180
Pm 13.863 0.000 1.141
Pm 15.827 0.000 4.681
Cu 2.853 0.000 1.504
Cu 12.985 0.000 5.135
Os 7.919 0.000 3.319
! - Formation energy from the elements: -0.0697 eV/atom
! - Crystal system: monoclinic
! - Calculated density: 8.04 Mg/m³
! - Calculated total energy: -5.290 eV per atom

Record 4
! PmPuCuOs, optimized geometry, DFT PBE; values from VASP
&SYSTEM
  ibrav = 0, nat = 4, ntyp = 4
/
ATOMIC_SPECIES
Pm 145.00 Pm.upf
Pu 244.00 Pu.upf
Cu 63.55 Cu.upf
Os 190.23 Os.upf
CELL_PARAMETERS angstrom
0.000 3.473 3.473
3.473 0.000 3.473
3.473 3.473 0.000
ATOMIC_POSITIONS angstrom
Pm 0.000 0.000 0.000
Pu 3.473 3.473 3.473
Cu 1.736 1.736 1.736
Os 5.209 5.209 5.209
! - Formation energy from the elements: 0.0104 eV/atom
! - Crystal system: cubic
! - Calculated density: 12.74 Mg/m³
! - Calculated total energy: -8.592 eV per atom

Record 5
! PmCuSbOs, optimized geometry, DFT PBE; values from VASP
&SYSTEM
  ibrav = 0, nat = 4, ntyp = 4
/
ATOMIC_SPECIES
Pm 145.00 Pm.upf
Cu 63.55 Cu.upf
Sb 121.76 Sb.upf
Os 190.23 Os.upf
CELL_PARAMETERS angstrom
0.000 3.377 3.377
3.377 0.000 3.377
3.377 3.377 0.000
ATOMIC_POSITIONS angstrom
Pm 0.000 0.000 0.000
Cu 5.066 5.066 5.066
Sb 3.377 3.377 3.377
Os 1.689 1.689 1.689
! - Formation energy from raw total energies: 0.05 eV per atom
! - Crystal system: cubic
! - Calculated density: 11.22 Mg/m³
! - Calculated total energy: -6.004 eV per atom

Record 6
! PmScCuOs, optimized geometry, DFT PBE; values from VASP
&SYSTEM
  ibrav = 0, nat = 4, ntyp = 4
/
ATOMIC_SPECIES
Pm 145.00 Pm.upf
Sc 44.96 Sc.upf
Cu 63.55 Cu.upf
Os 190.23 Os.upf
CELL_PARAMETERS angstrom
0.000 3.385 3.385
3.385 0.000 3.385
3.385 3.385 0.000
ATOMIC_POSITIONS angstrom
Pm 0.000 0.000 0.000
Sc 3.385 3.385 3.385
Cu 1.693 1.693 1.693
Os 5.078 5.078 5.078
! - Formation energy from the elements: -0.1872 eV/atom
! - Crystal system: cubic
! - Calculated density: 9.50 Mg/m³
! - Calculated total energy: -6.789 eV per atom

no.,density of states at the Fermi level (states/eV/cell)
1,3.21
2,3.79
3,11.69
4,9.94
5,3.40
6,3.00